First-principles (PBE) data for YAg2Os after structural relaxation, as listed in the Alexandria database.

Cell lengths 3.020, 4.151, 6.100 Å; angles 90.00, 90.19, 90.00 degrees
Space group Pm (No. 6)
Symmetry-distinct sites (fractional):
Y1 0.000 0.000 0.000 x1
Ag1 0.000 0.000 0.518 x1
Ag2 0.500 0.500 0.296 x1
Os1 0.499 0.500 0.767 x1

Results
- Theoretical density: 10.7 g/cm³
- Energy of formation: 0.25 eV per atom



First-principles (PBE) data for Li2AcSe2 after structural relaxation, as listed in the Alexandria database.

Cell lengths 4.2322, 4.2322, 24.7762 Å; angles 90.00, 90.00, 120.00 degrees
Space group R-3m (No. 166, hexagonal axes)
Symmetry-distinct sites (fractional):
Li1 0.0000 0.0000 0.2222 x6
Ac1 0.0000 0.0000 0.0000 x3
Se1 0.0000 0.0000 0.4165 x6

Results
- Theoretical density: 5.2 g/cm³
- Formation energy (no corrections): -1351 meV per atom



First-principles (PBE) data for YTlPbI6 after structural relaxation, as listed in the Alexandria database.

Cell lengths 8.0964, 8.0964, 15.1632 Å; angles 90.00, 90.00, 120.00 degrees
Space group P-31c (No. 163)
Symmetry-distinct sites (fractional):
Y1 0.3333 0.6667 0.2500 x2
Tl1 0.0000 0.0000 0.0000 x2
Pb1 0.3333 0.6667 0.7500 x2
I1 0.0187 0.3713 0.1320 x12

Results
- Theoretical density: 4.9 g/cm³
- Formation energy (no corrections): -987 meV per atom



First-principles (PBE) data for KMoCBr2 after structural relaxation, as listed in the Alexandria database.

Cell lengths 5.940, 5.940, 3.881 Å; angles 90.00, 90.00, 90.00 degrees
Space group P4/mmm (No. 123)
Symmetry-distinct sites (fractional):
K1 0.000 0.000 0.000 x1
Mo1 0.500 0.500 0.000 x1
C1 0.500 0.500 0.500 x1
Br1 0.000 0.500 0.500 x2

Results
- Theoretical density: 3.7 g/cm³
- Formation energy (no corrections): 547 meV per atom



First-principles (PBE) data for Ce5Cu2Ge5 after structural relaxation, as listed in the Alexandria database.

Cell lengths 14.918, 4.178, 10.979 Å; angles 90.00, 128.54, 90.00 degrees
Space group C2/m (No. 12)
Symmetry-distinct sites (fractional):
Ce1 0.000 0.000 0.000 x2
Ce2 0.127 0.500 0.797 x4
Ce3 0.190 0.500 0.602 x4
Cu1 0.111 0.500 0.260 x4
Ge1 0.000 0.000 0.500 x2
Ge2 0.075 0.000 0.334 x4
Ge3 0.189 0.500 0.117 x4

Results
- Theoretical density: 7.4 g/cm³
- Energy of formation: -0.63 eV per atom



First-principles (PBE) data for Re2Mo after structural relaxation, as listed in the Alexandria database.

Cell lengths 2.786, 3.945, 8.371 Å; angles 90.00, 90.00, 90.00 degrees
Space group Immm (No. 71)
Symmetry-distinct sites (fractional):
Re1 0.000 0.000 0.170 x4
Mo1 0.000 0.000 0.500 x2

Results
- Theoretical density: 16.9 g/cm³
- Energy of formation: 0.14 eV per atom



First-principles (PBE) data for CeZr2Pa after structural relaxation, as listed in the Alexandria database.

Cell lengths 4.423, 4.423, 5.051 Å; angles 90.00, 90.00, 90.00 degrees
Space group P4/mmm (No. 123)
Symmetry-distinct sites (fractional):
Ce1 0.000 0.000 0.000 x1
Zr1 0.000 0.500 0.500 x2
Pa1 0.500 0.500 0.000 x1

Results
- Theoretical density: 9.3 g/cm³
- Energy of formation: 0.14 eV per atom



First-principles (PBE) data for NaP2PtS after structural relaxation, as listed in the Alexandria database.

Cell lengths 4.595, 4.595, 5.394 Å; angles 90.00, 90.00, 90.00 degrees
Space group P4/mmm (No. 123)
Symmetry-distinct sites (fractional):
Na1 0.000 0.000 0.000 x1
P1 0.000 0.500 0.500 x2
Pt1 0.500 0.500 0.500 x1
S1 0.500 0.500 0.000 x1

Results
- Theoretical density: 4.5 g/cm³
- Formation energy (no corrections): 275 meV per atom



First-principles (PBE) data for CePr2IrN4 after structural relaxation, as listed in the Alexandria database.

Cell lengths 3.452, 11.998, 12.206 Å; angles 90.00, 90.00, 90.00 degrees
Space group Cmcm (No. 63)
Symmetry-distinct sites (fractional):
Ce1 0.000 0.111 0.250 x4
Pr1 0.000 0.369 0.049 x8
Ir1 0.000 0.152 0.750 x4
N1 0.000 0.000 0.000 x4
N2 0.000 0.285 0.641 x8
N3 0.000 0.451 0.250 x4

Results
- Theoretical density: 8.8 g/cm³
- Formation energy (no corrections): -801 meV per atom



First-principles (PBE) data for PrSm2Dy4Er after structural relaxation, as listed in the Alexandria database.

Cell lengths 6.827, 11.822, 13.276 Å; angles 90.00, 90.00, 90.00 degrees
Space group Imma (No. 74)
Symmetry-distinct sites (fractional):
Pr1 0.000 0.000 0.000 x4
Sm1 0.000 0.000 0.500 x4
Sm2 0.250 0.250 0.250 x4
Dy1 0.000 0.004 0.750 x8
Dy2 0.249 0.250 0.504 x8
Er1 0.250 0.250 0.750 x4

Results
- Theoretical density: 7.8 g/cm³
- Energy of formation: 0.42 eV per atom



First-principles (PBE) data for CuMo2Pb after structural relaxation, as listed in the Alexandria database.

Cell lengths 4.116, 4.116, 7.966 Å; angles 90.00, 90.00, 90.00 degrees
Space group I-4m2 (No. 119)
Symmetry-distinct sites (fractional):
Cu1 0.000 0.000 0.000 x2
Mo1 0.000 0.000 0.500 x2
Mo2 0.000 0.500 0.750 x2
Pb1 0.000 0.500 0.250 x2

Results
- Theoretical density: 11.4 g/cm³
- Energy of formation: 0.57 eV per atom



First-principles (PBE) data for Pr2BiSb4 after structural relaxation, as listed in the Alexandria database.

Cell lengths 4.412, 4.412, 11.585 Å; angles 90.00, 90.00, 90.00 degrees
Space group P-4m2 (No. 115)
Symmetry-distinct sites (fractional):
Pr1 0.000 0.500 0.216 x2
Bi1 0.000 0.000 0.500 x1
Sb1 0.000 0.000 0.000 x1
Sb2 0.000 0.500 0.696 x2
Sb3 0.500 0.500 0.000 x1

Results
- Theoretical density: 7.2 g/cm³
- Formation energy (no corrections): -638 meV per atom